Compound: Pm2Dy5Y2
Source: Alexandria via LeMat-Bulk
Functional: PBE-GGA
Structure: optimized geometry

Lattice parameters (Å, degrees): 15.164 5.049 7.989 90.00 108.42 90.00
Space group C2/m (No. 12)
Inequivalent atoms, fractional coordinates:
1 Pm 0.112 0.000 0.168 (multiplicity 4)
2 Dy 0.000 0.000 0.500 (multiplicity 2)
3 Dy 0.167 0.500 0.500 (multiplicity 4)
4 Dy 0.222 0.000 0.832 (multiplicity 4)
5 Y 0.056 0.500 0.832 (multiplicity 4)

Offset from the most stable computed form, meV/atom: 0
N(E_F), states/eV/cell: 23.8
Magnetic moment, μB per formula unit: 0.0
Energy of formation, eV/atom: 0.018